Entry 1:
LiAl2CuSb | Alexandria via LeMat-Bulk | PBE | relaxed; DFT total energy = -2.775 eV/atom; Fermi-level density of states = 2.22 states/eV/f.u.; space-group type = No. 123; formation energy (no corrections) = 748 meV per atom
1.0
5.286 0.000 0.000
0.000 5.286 0.000
0.000 0.000 4.959
Li Al Cu Sb
1 2 1 1
Cartesian
0.000 0.000 0.000
0.000 2.643 2.479
2.643 0.000 2.479
2.643 2.643 0.000
0.000 0.000 2.479


Entry 2:
LiAlCuSe2 | Alexandria via LeMat-Bulk | PBE | relaxed; DFT total energy = -2.958 eV/atom; Fermi-level density of states = 1.99 states/eV/f.u.; space-group type = No. 123; formation energy (no corrections) = 386 meV per atom
1.0
4.932 0.000 0.000
0.000 4.932 0.000
0.000 0.000 4.823
Li Al Cu Se
1 1 1 2
Cartesian
0.000 0.000 0.000
0.000 0.000 2.411
2.466 2.466 0.000
0.000 2.466 2.411
2.466 0.000 2.411